1.
Below is Pm4PS3 after structural relaxation, with properties calculated at the PBE level.

The structure belongs to space group Pm-3m (No. 221); the cell edges are 5.7360, 5.7360 and 5.7360 Å and the angles 90.00°, 90.00° and 90.00°. The distinct sites, in fractional coordinates, are Pm at (0.0000, 0.0000, 0.0000), Pm at (0.0000, 0.5000, 0.5000), P at (0.5000, 0.5000, 0.5000) and S at (0.0000, 0.0000, 0.5000).

For the calculated volume, the calculation gives 23.59 Å³ per atom. The value obtained for the total magnetization is 0.0 μB per cell. The electronic total energy is -6.55 eV per atom.

***

2.
Below is Nb4Ni5Pb5 after structural relaxation, with properties calculated at the PBE level.

The structure belongs to space group I-4 (No. 82); the cell edges are 9.5804, 9.5804 and 6.0715 Å and the angles 90.00°, 90.00° and 90.00°. The distinct sites, in fractional coordinates, are Nb at (0.0978, 0.1989, 0.2568), Ni at (0.0000, 0.0000, 0.0000), Ni at (0.1082, 0.7157, 0.4712), Pb at (0.0000, 0.5000, 0.2500) and Pb at (0.0865, 0.2233, 0.7612).

For the calculated volume, the calculation gives 19.90 Å³ per atom. The value obtained for the total magnetization is 0.0 μB per cell. The electronic total energy is -6.14 eV per atom.

***

3.
Below is Pr2Sm2CIBr2Cl2 after structural relaxation, with properties calculated at the PBE level.

The structure belongs to space group C2/m (No. 12); the cell edges are 17.6871, 3.9901 and 8.9267 Å and the angles 90.00°, 104.19° and 90.00°. The distinct sites, in fractional coordinates, are Pr at (0.0015, 0.0000, 0.3044), Sm at (0.1444, 0.5000, 0.5723), C at (0.0000, 0.5000, 0.5000), I at (0.0000, 0.5000, 0.0000), Br at (0.1740, 0.0000, 0.8186) and Cl at (0.1727, 0.0000, 0.3667).

For the calculated volume, the calculation gives 30.54 Å³ per atom. The value obtained for the total magnetization is 0.0 μB per cell. The electronic total energy is -5.16 eV per atom. The energy relative to the lowest polymorph listed for this composition comes out at 0.0 kJ/mol of atoms.

***

4.
Below is SmAuNO after structural relaxation, with properties calculated at the PBE level.

The structure belongs to space group P4/nmm (No. 129, origin choice 2); the cell edges are 5.0560, 5.0560 and 4.5697 Å and the angles 90.00°, 90.00° and 90.00°. The distinct sites, in fractional coordinates, are Sm at (0.2500, 0.7500, 0.0000), Au at (0.2500, 0.2500, 0.4990), N at (0.2500, 0.2500, 0.9989) and O at (0.2500, 0.7500, 0.5000).

For the calculated volume, the calculation gives 14.60 Å³ per atom. The value obtained for the total magnetization is 0.0 μB per cell. The electronic total energy is -6.15 eV per atom. The energy relative to the lowest polymorph listed for this composition comes out at 29.8 kJ/mol of atoms.

***

5.
Below is CuPt3Se5 after structural relaxation, with properties calculated at the PBE level.

The structure belongs to space group P6/mmm (No. 191); the cell edges are 6.3473, 6.3473 and 6.4456 Å and the angles 90.00°, 90.00° and 120.00°. The distinct sites, in fractional coordinates, are Cu at (0.0000, 0.0000, 0.0000), Pt at (0.0000, 0.5000, 0.5000), Se at (0.0000, 0.0000, 0.5000) and Se at (0.3333, 0.6667, 0.2419).

For the calculated volume, the calculation gives 24.99 Å³ per atom. The value obtained for the total magnetization is 0.0 μB per cell. The electronic total energy is -4.16 eV per atom.

***

6.
Below is ZrTlCdFe after structural relaxation, with properties calculated at the PBE level.

The structure belongs to space group F-43m (No. 216); the cell edges are 6.7669, 6.7669 and 6.7669 Å and the angles 90.00°, 90.00° and 90.00°. The distinct sites, in fractional coordinates, are Zr at (0.0000, 0.0000, 0.0000), Tl at (0.0000, 0.0000, 0.5000), Cd at (0.2500, 0.2500, 0.2500) and Fe at (0.2500, 0.2500, 0.7500).

For the calculated volume, the calculation gives 19.37 Å³ per atom. The value obtained for the total magnetization is 6.3 μB per cell. The electronic total energy is -4.76 eV per atom. The energy relative to the lowest polymorph listed for this composition comes out at 0.0 kJ/mol of atoms.